Here is a geometry-optimized Li2Ac3InAu6 structure from the Alexandria database. Energies are from PBE.

Cell: 6.4851 6.4851 8.6607 Å, 90.00 90.00 120.00°
Closest atoms and distances in Å follow each position.
Sites, in units of the cell vectors:
Li1 0.3333 0.6667 0.0309  3 Au 2.68
Li2 0.6667 0.3333 0.9691  3 Au 2.68
Ac1 0.3333 0.6667 0.6245  9 Au 3.37-3.46, 1 Li 3.52
Ac2 0.0000 0.0000 0.0000  6 Au 3.16
Ac3 0.6667 0.3333 0.3755  9 Au 3.37-3.46, 1 Li 3.52
Au1 0.1858 0.8142 0.2744  1 Li 2.68, 1 In 2.86, 2 Au 2.87
Au2 0.6284 0.8142 0.2744  1 Li 2.68, 1 In 2.86, 2 Au 2.87
Au3 0.8142 0.1858 0.7256  1 Li 2.68, 1 In 2.86, 2 Au 2.87
Au4 0.8142 0.6284 0.7256  1 Li 2.68, 1 In 2.86, 2 Au 2.87
Au5 0.1858 0.3716 0.2744  1 Li 2.68, 1 In 2.86, 2 Au 2.87
Au6 0.3716 0.1858 0.7256  1 Li 2.68, 1 In 2.86, 2 Au 2.87
In1 0.0000 0.0000 0.5000  6 Au 2.86

Computed properties:
Calculated total energy: -3.75 eV/atom
DFT formation energy: -535 meV per atom
Symmetry: P-3m1 (164)
Size of the total moment: 0.00 Bohr magnetons per cell